[1]
ZnCrSe2 (PBE, relaxed); magnetic moment = 0.053 μB/f.u.; formation energy without anion corrections = -48.9 kJ/mol of formula units; calculated total energy = -18.4 eV for the cell shown
1.0
2.0817 8.7889 0.8790
2.9846 7.7162 3.7288
4.9589 7.4964 1.2507
Zn Cr Se
1 1 2
Direct
0.0000 0.0000 0.0000 Zn
0.5000 0.5000 0.5000 Cr
0.8931 0.8931 0.8931 Se
0.1069 0.1069 0.1069 Se


[2]
ZnCrSe3 (PBE, relaxed); magnetic moment = 0.645 μB/f.u.; formation energy without anion corrections = 482.4 kJ/mol of formula units; calculated total energy = -16.4 eV for the cell shown; polymorph energy (0 for the lowest one) = 727 meV/atom
1.0
4.8502 0.0000 0.0000
0.0000 4.8502 0.0000
0.0000 0.0000 4.8502
Se Cr Zn
3 1 1
Direct
0.0000 0.0000 0.5000 Se
0.5000 0.0000 0.0000 Se
0.0000 0.5000 0.0000 Se
0.5000 0.5000 0.5000 Cr
0.0000 0.0000 0.0000 Zn


[3]
ZnCr3Se (PBE, relaxed); magnetic moment = 0.001 μB/f.u.; formation energy without anion corrections = 494.6 kJ/mol of formula units; calculated total energy = -28.5 eV for the cell shown; polymorph energy (0 for the lowest one) = 0 meV/atom
1.0
4.3519 0.0000 0.0000
0.0000 4.3519 0.0000
0.0000 0.0000 4.3519
Cr Zn Se
3 1 1
Direct
0.0000 0.0000 0.5000 Cr
0.5000 0.0000 0.0000 Cr
0.0000 0.5000 0.0000 Cr
0.5000 0.5000 0.5000 Zn
0.0000 0.0000 0.0000 Se


[4]
ZnCr2Se (PBE, relaxed); magnetic moment = 0.216 μB/f.u.; formation energy without anion corrections = 140.1 kJ/mol of formula units; calculated total energy = -22.6 eV for the cell shown; polymorph energy (0 for the lowest one) = 227 meV/atom
1.0
-0.8715 4.3594 0.4379
-3.9562 1.3387 1.5847
-0.2749 1.8252 4.0680
Cr Se Zn
2 1 1
Direct
0.0000 0.0000 0.0000 Cr
0.7500 0.7500 0.7500 Cr
0.5000 0.5000 0.5000 Se
0.2500 0.2500 0.2500 Zn